# 1
Material: Sc4GaCu2Os
Method: DFT, PBE-GGA
State: optimized geometry

Cell: 4.6250 4.6250 8.0532 Å, 73.31 73.31 60.00°
Element x y z (fractional)
Cu 0.7483 0.7483 0.7550
Cu 0.2517 0.2517 0.2450
Sc 0.3799 0.3799 0.8603
Sc 0.8710 0.8710 0.3870
Sc 0.6201 0.6201 0.1397
Sc 0.1290 0.1290 0.6130
Ga 0.0000 0.0000 0.0000
Os 0.5000 0.5000 0.5000

The value obtained for the formation energy is -0.4542 eV per atom. The density comes out at 6.7 g/cm³.


# 2
Material: SmGa4Cu2Os
Method: DFT, PBE-GGA
State: optimized geometry

Cell: 4.1964 4.1964 9.3101 Å, 76.98 76.98 60.00°
Element x y z (fractional)
Ga 0.4017 0.4017 0.7950
Ga 0.5983 0.5983 0.2050
Ga 0.8686 0.8686 0.3943
Ga 0.1314 0.1314 0.6057
Os 0.5000 0.5000 0.5000
Sm 0.0000 0.0000 0.0000
Cu 0.2343 0.2343 0.2971
Cu 0.7657 0.7657 0.7029

The value obtained for the formation energy is -0.2037 eV per atom. The density comes out at 9.0 g/cm³.


# 3
Material: GaCu2SnOs
Method: DFT, PBE-GGA
State: optimized geometry

Cell: 4.3498 5.1599 4.3498 Å, 90.00 90.00 90.00°
Element x y z (fractional)
Os 0.5000 0.5000 0.5000
Cu 0.0000 0.0000 0.5000
Cu 0.5000 0.0000 0.0000
Sn 0.0000 0.5000 0.0000
Ga 0.0000 0.0000 0.0000

The value obtained for the formation energy is 1.3404 eV per atom. The density comes out at 8.6 g/cm³.


# 4
Material: GaCuTcOs2
Method: DFT, PBE-GGA
State: optimized geometry

Cell: 4.4817 4.4354 4.4817 Å, 90.00 90.00 90.00°
Element x y z (fractional)
Ga 0.5000 0.5000 0.5000
Os 0.5000 0.0000 0.0000
Os 0.0000 0.0000 0.5000
Tc 0.0000 0.5000 0.0000
Cu 0.0000 0.0000 0.0000

The value obtained for the formation energy is 1.8506 eV per atom. The density comes out at 11.4 g/cm³.


# 5
Material: Th2Ga4Cu3Os
Method: DFT, PBE-GGA
State: optimized geometry

Cell: 4.2305 4.2305 10.1483 Å, 90.00 90.00 90.00°
Element x y z (fractional)
Ga 0.0000 0.5000 0.3661
Ga 0.5000 0.0000 0.6339
Ga 0.0000 0.0000 0.0000
Ga 0.5000 0.5000 0.0000
Os 0.5000 0.5000 0.5000
Th 0.5000 0.0000 0.2567
Th 0.0000 0.5000 0.7433
Cu 0.0000 0.5000 0.1280
Cu 0.0000 0.0000 0.5000
Cu 0.5000 0.0000 0.8720

The value obtained for the formation energy is -0.3775 eV per atom. The density comes out at 10.3 g/cm³.


# 6
Material: TiGaCuOs
Method: DFT, PBE-GGA
State: optimized geometry

Cell: 4.3208 4.3208 4.3208 Å, 60.00 60.00 60.00°
Element x y z (fractional)
Os 0.5000 0.5000 0.5000
Ti 0.7500 0.7500 0.7500
Ga 0.2500 0.2500 0.2500
Cu 0.0000 0.0000 0.0000

The value obtained for the formation energy is -0.2469 eV per atom. The density comes out at 10.8 g/cm³.